{"formula": "MgPOsO", "functional": "PBE-GGA", "state": "optimized geometry", "relative_energy_mev_per_atom": 0, "crystal_system": "tetragonal", "cell": [[3.9753, 0.0000, 0.0000], [0.0000, 3.9753, 0.0000], [0.0000, 0.0000, 8.4505]], "species": ["Mg", "Mg", "P", "P", "Os", "Os", "O", "O"], "frac_coords": [[0.2500, 0.2500, 0.0051], [0.7500, 0.7500, 0.9949], [0.2500, 0.2500, 0.3561], [0.7500, 0.7500, 0.6439], [0.2500, 0.7500, 0.5000], [0.7500, 0.2500, 0.5000], [0.2500, 0.7500, 0.0000], [0.7500, 0.2500, 0.0000]]}

=====

{"formula": "MgPOsO", "functional": "PBE-GGA", "state": "optimized geometry", "relative_energy_mev_per_atom": 1377, "crystal_system": "tetragonal", "cell": [[3.6111, 0.0000, 0.0000], [0.0000, 3.6111, 0.0000], [0.0000, 0.0000, 7.8065]], "species": ["Mg", "Mg", "P", "P", "Os", "Os", "O", "O"], "frac_coords": [[0.2500, 0.7500, 0.0000], [0.7500, 0.2500, 0.0000], [0.2500, 0.2500, 0.2306], [0.7500, 0.7500, 0.7694], [0.2500, 0.2500, 0.6666], [0.7500, 0.7500, 0.3334], [0.2500, 0.7500, 0.5000], [0.7500, 0.2500, 0.5000]]}

=====

{"formula": "MgPOsO", "functional": "PBE-GGA", "state": "optimized geometry", "relative_energy_mev_per_atom": 342, "crystal_system": "orthorhombic", "cell": [[3.4817, 0.0000, 0.0000], [0.0000, 5.9571, 0.0000], [0.0000, 0.0000, 5.5726]], "species": ["Mg", "Mg", "P", "P", "Os", "Os", "O", "O"], "frac_coords": [[0.0000, 0.1259, 0.0000], [0.0000, 0.8741, 0.5000], [0.0000, 0.3108, 0.4371], [0.0000, 0.6892, 0.9371], [0.5000, 0.4830, 0.6507], [0.5000, 0.5170, 0.1507], [0.5000, 0.2309, 0.9115], [0.5000, 0.7691, 0.4115]]}

=====

{"formula": "MgOsPb2O6", "functional": "PBE-GGA", "state": "optimized geometry", "e_tot_ha_per_atom": -0.235, "crystal_system": "tetragonal", "cell": [[-2.7880, 2.7880, 4.0207], [2.7880, -2.7880, 4.0207], [2.7880, 2.7880, -4.0207]], "species": ["Mg", "Os", "Pb", "Pb", "O", "O", "O", "O", "O", "O"], "frac_coords": [[0.0000, 0.0000, 0.0000], [0.5000, 0.5000, 0.0000], [0.2500, 0.7500, 0.5000], [0.7500, 0.2500, 0.5000], [0.2144, 0.6973, 0.9118], [0.2584, 0.2584, 0.0000], [0.3027, 0.2144, 0.5171], [0.6973, 0.7856, 0.4829], [0.7416, 0.7416, 0.0000], [0.7856, 0.3027, 0.0882]]}

=====

{"formula": "Rb2MgOsO6", "functional": "PBE-GGA", "state": "optimized geometry", "e_tot_ha_per_atom": -0.219, "crystal_system": "cubic", "cell": [[0.0000, 3.9941, 3.9941], [3.9941, 0.0000, 3.9941], [3.9941, 3.9941, 0.0000]], "species": ["Rb", "Rb", "Mg", "Os", "O", "O", "O", "O", "O", "O"], "frac_coords": [[0.2500, 0.2500, 0.2500], [0.7500, 0.7500, 0.7500], [0.0000, 0.0000, 0.0000], [0.5000, 0.5000, 0.5000], [0.2653, 0.2653, 0.7347], [0.2653, 0.7347, 0.2653], [0.2653, 0.7347, 0.7347], [0.7347, 0.2653, 0.2653], [0.7347, 0.2653, 0.7347], [0.7347, 0.7347, 0.2653]]}

=====

{"formula": "Sm2MgOsO6", "functional": "PBE-GGA", "state": "optimized geometry", "e_tot_ha_per_atom": -0.283, "crystal_system": "monoclinic", "cell": [[5.3724, 0.0000, 0.0000], [0.0000, 5.7358, 0.0000], [-5.2426, 0.0000, 7.6924]], "species": ["Sm", "Sm", "Sm", "Sm", "Mg", "Mg", "Os", "Os", "O", "O", "O", "O", "O", "O", "O", "O", "O", "O", "O", "O"], "frac_coords": [[0.2272, 0.0710, 0.2502], [0.2272, 0.4290, 0.7502], [0.7728, 0.5710, 0.2498], [0.7728, 0.9290, 0.7498], [0.5000, 0.0000, 0.0000], [0.5000, 0.5000, 0.5000], [0.0000, 0.0000, 0.5000], [0.0000, 0.5000, 0.0000], [0.1366, 0.1988, 0.9459], [0.1366, 0.3012, 0.4459], [0.2557, 0.6990, 0.9488], [0.2557, 0.8010, 0.4488], [0.3545, 0.0314, 0.7469], [0.3545, 0.4686, 0.2469], [0.6455, 0.5314, 0.7531], [0.6455, 0.9686, 0.2531], [0.7443, 0.1990, 0.5512], [0.7443, 0.3010, 0.0512], [0.8634, 0.6988, 0.5541], [0.8634, 0.8012, 0.0541]]}

=====

{"formula": "MgSn2OsO6", "functional": "PBE-GGA", "state": "optimized geometry", "e_tot_ha_per_atom": -0.235, "crystal_system": "tetragonal", "cell": [[-2.7362, 2.7362, 4.0033], [2.7362, -2.7362, 4.0033], [2.7362, 2.7362, -4.0033]], "species": ["Mg", "Sn", "Sn", "Os", "O", "O", "O", "O", "O", "O"], "frac_coords": [[0.0000, 0.0000, 0.0000], [0.2500, 0.7500, 0.5000], [0.7500, 0.2500, 0.5000], [0.5000, 0.5000, 0.0000], [0.1893, 0.6730, 0.8623], [0.2570, 0.2570, 0.0000], [0.3270, 0.1893, 0.5163], [0.6730, 0.8107, 0.4837], [0.7430, 0.7430, 0.0000], [0.8107, 0.3270, 0.1377]]}

=====

{"formula": "MgPaPO", "functional": "PBE-GGA", "state": "optimized geometry", "relative_energy_mev_per_atom": 36, "crystal_system": "orthorhombic", "cell": [[3.7538, 0.0000, 0.0000], [0.0000, 5.8852, 0.0000], [0.0000, 0.0000, 7.0369]], "species": ["Mg", "Mg", "Pa", "Pa", "P", "P", "O", "O"], "frac_coords": [[0.0000, 0.1158, 0.0000], [0.0000, 0.8842, 0.5000], [0.5000, 0.4353, 0.6477], [0.5000, 0.5647, 0.1477], [0.0000, 0.2829, 0.3551], [0.0000, 0.7171, 0.8551], [0.5000, 0.2473, 0.9419], [0.5000, 0.7527, 0.4419]]}

=====

V? In order: 16.7; 12.7; 14.4; 12.5; 12.7; 11.9; 12.0; 19.4 Å³/atom.